1.
Below is an optimized crystal structure of Tb2CdHg, with properties calculated at the PBE level. Values from VASP.

## Properties
calculated volume: 26.264 A^3/atom
total magnetic moment: 0.131 μB/atom
energy of formation: -0.40 eV/atom
DOS at the Fermi energy: 4.1 states/eV/f.u.

Geometry as Quantum ESPRESSO input:
```
&SYSTEM
  ibrav = 0, nat = 4, ntyp = 3
/
ATOMIC_SPECIES
Tb 158.93 Tb.upf
Hg 200.59 Hg.upf
Cd 112.41 Cd.upf
CELL_PARAMETERS angstrom
-5.212 -0.930 -0.129
-2.275 -1.714 -4.465
-1.796 -4.973 -0.318
ATOMIC_POSITIONS crystal
Tb 0.250 0.250 0.250
Tb 0.750 0.750 0.750
Hg 0.000 0.000 0.000
Cd 0.500 0.500 0.500
```

2.
Below is an optimized crystal structure of Tb2CdHg4, with properties calculated at the PBE level. Values from VASP.

## Properties
calculated volume: 31.536 A^3/atom
total magnetic moment: 0.000 μB/atom
energy of formation: 0.06 eV/atom
relative energy among the computed polymorphs: 354 meV/atom
DOS at the Fermi energy: 5.5 states/eV/f.u.

Geometry as Quantum ESPRESSO input:
```
&SYSTEM
  ibrav = 0, nat = 7, ntyp = 3
/
ATOMIC_SPECIES
Tb 158.93 Tb.upf
Cd 112.41 Cd.upf
Hg 200.59 Hg.upf
CELL_PARAMETERS angstrom
-0.696 2.619 4.636
4.597 -2.063 1.856
1.879 5.723 -6.062
ATOMIC_POSITIONS crystal
Tb 0.611 0.611 0.223
Tb 0.389 0.389 0.777
Cd 0.000 0.000 0.000
Hg 0.807 0.807 0.615
Hg 0.193 0.193 0.385
Hg 0.000 0.500 0.000
Hg 0.500 0.000 0.000
```

3.
Below is an optimized crystal structure of Tb6Cd2Hg, with properties calculated at the PBE level. Values from VASP.

## Properties
calculated volume: 28.102 A^3/atom
total magnetic moment: 0.000 μB/atom
energy of formation: -0.23 eV/atom
relative energy among the computed polymorphs: 0 meV/atom
DOS at the Fermi energy: 10.1 states/eV/f.u.

Geometry as Quantum ESPRESSO input:
```
&SYSTEM
  ibrav = 0, nat = 9, ntyp = 3
/
ATOMIC_SPECIES
Tb 158.93 Tb.upf
Cd 112.41 Cd.upf
Hg 200.59 Hg.upf
CELL_PARAMETERS angstrom
-4.265 -2.807 1.660
4.818 -2.349 -0.275
1.895 2.774 9.563
ATOMIC_POSITIONS crystal
Tb 0.667 0.333 0.976
Tb 0.333 0.667 0.024
Tb 0.000 0.000 0.177
Tb 0.333 0.667 0.390
Tb 0.000 0.000 0.823
Tb 0.667 0.333 0.610
Cd 0.333 0.667 0.715
Cd 0.667 0.333 0.285
Hg 0.000 0.000 0.500
```

4.
Below is an optimized crystal structure of Tb3Cd2Hg4, with properties calculated at the PBE level. Values from VASP.

## Properties
calculated volume: 24.528 A^3/atom
total magnetic moment: 0.000 μB/atom
energy of formation: -0.39 eV/atom
DOS at the Fermi energy: 5.6 states/eV/f.u.

Geometry as Quantum ESPRESSO input:
```
&SYSTEM
  ibrav = 0, nat = 9, ntyp = 3
/
ATOMIC_SPECIES
Tb 158.93 Tb.upf
Cd 112.41 Cd.upf
Hg 200.59 Hg.upf
CELL_PARAMETERS angstrom
4.969 0.000 0.000
-2.484 5.457 -0.730
0.000 -3.362 8.592
ATOMIC_POSITIONS crystal
Tb 0.664 0.328 0.670
Tb 0.000 0.000 0.000
Tb 0.336 0.672 0.330
Cd 0.613 0.225 0.281
Cd 0.387 0.775 0.719
Hg 0.712 0.425 0.049
Hg 0.288 0.575 0.951
Hg 0.935 0.871 0.605
Hg 0.065 0.129 0.395
```

5.
Below is an optimized crystal structure of Tb3CdHg3, with properties calculated at the PBE level. Values from VASP.

## Properties
calculated volume: 27.009 A^3/atom
total magnetic moment: 0.000 μB/atom
energy of formation: -0.31 eV/atom
relative energy among the computed polymorphs: 0 meV/atom
DOS at the Fermi energy: 6.6 states/eV/f.u.

Geometry as Quantum ESPRESSO input:
```
&SYSTEM
  ibrav = 0, nat = 14, ntyp = 3
/
ATOMIC_SPECIES
Tb 158.93 Tb.upf
Cd 112.41 Cd.upf
Hg 200.59 Hg.upf
CELL_PARAMETERS angstrom
7.181 -0.041 0.015
-0.025 7.181 0.015
0.015 0.014 7.333
ATOMIC_POSITIONS crystal
Tb 0.062 0.062 0.752
Tb 0.452 0.044 0.249
Tb 0.044 0.452 0.249
Tb 0.548 0.956 0.751
Tb 0.956 0.548 0.751
Tb 0.938 0.938 0.248
Cd 0.354 0.354 0.942
Cd 0.646 0.646 0.058
Hg 0.335 0.335 0.543
Hg 0.243 0.757 0.500
Hg 0.757 0.243 0.500
Hg 0.242 0.758 0.000
Hg 0.758 0.242 0.000
Hg 0.665 0.665 0.457
```

6.
Below is an optimized crystal structure of TbCd2Hg, with properties calculated at the PBE level. Values from VASP.

## Properties
calculated volume: 24.303 A^3/atom
total magnetic moment: 0.000 μB/atom
energy of formation: -0.29 eV/atom
relative energy among the computed polymorphs: 26 meV/atom
DOS at the Fermi energy: 2.3 states/eV/f.u.

Geometry as Quantum ESPRESSO input:
```
&SYSTEM
  ibrav = 0, nat = 4, ntyp = 3
/
ATOMIC_SPECIES
Tb 158.93 Tb.upf
Hg 200.59 Hg.upf
Cd 112.41 Cd.upf
CELL_PARAMETERS angstrom
4.876 0.000 0.000
0.000 4.465 0.000
0.000 0.000 4.465
ATOMIC_POSITIONS crystal
Tb 0.500 0.500 0.500
Hg 0.500 0.000 0.000
Cd 0.000 0.000 0.500
Cd 0.000 0.500 0.000
```

7.
Below is an optimized crystal structure of TbCdHg2, with properties calculated at the PBE level. Values from VASP.

## Properties
calculated volume: 27.157 A^3/atom
total magnetic moment: 0.000 μB/atom
energy of formation: -0.18 eV/atom
DOS at the Fermi energy: 2.8 states/eV/f.u.

Geometry as Quantum ESPRESSO input:
```
&SYSTEM
  ibrav = 0, nat = 4, ntyp = 3
/
ATOMIC_SPECIES
Tb 158.93 Tb.upf
Cd 112.41 Cd.upf
Hg 200.59 Hg.upf
CELL_PARAMETERS angstrom
3.977 0.000 0.000
1.988 3.444 0.000
1.988 1.148 7.931
ATOMIC_POSITIONS crystal
Tb 0.667 0.667 0.000
Cd 0.500 0.500 0.500
Hg 0.087 0.087 0.739
Hg 0.247 0.247 0.260
```

8.
Below is an optimized crystal structure of TbCd4Hg, with properties calculated at the PBE level. Values from VASP.

## Properties
calculated volume: 24.359 A^3/atom
total magnetic moment: 0.000 μB/atom
energy of formation: -0.06 eV/atom
relative energy among the computed polymorphs: 135 meV/atom
DOS at the Fermi energy: 3.0 states/eV/f.u.

Geometry as Quantum ESPRESSO input:
```
&SYSTEM
  ibrav = 0, nat = 6, ntyp = 3
/
ATOMIC_SPECIES
Tb 158.93 Tb.upf
Hg 200.59 Hg.upf
Cd 112.41 Cd.upf
CELL_PARAMETERS angstrom
5.913 0.000 0.000
2.956 5.120 0.000
2.956 1.707 4.828
ATOMIC_POSITIONS crystal
Tb 0.250 0.250 0.250
Hg 0.000 0.000 0.000
Cd 0.624 0.624 0.127
Cd 0.624 0.127 0.624
Cd 0.624 0.624 0.624
Cd 0.127 0.624 0.624
```